This record from Alexandria describes crystalline Tm5ScPt6 at its relaxed geometry. The functional is PBE.

```
Tm5ScPt6
1.0
7.695 -3.390 0.000
7.695 3.390 0.000
-1.533 0.000 4.619
Tm Sc Pt
5 1 6
Direct
0.000 0.000 0.000
0.167 0.167 0.666
0.334 0.334 0.333
0.666 0.666 0.667
0.833 0.833 0.334
0.500 0.500 0.000
0.095 0.582 0.838
0.257 0.743 0.500
0.418 0.905 0.162
0.582 0.095 0.838
0.743 0.257 0.500
0.905 0.418 0.162
```

Its formation energy is -15.3 eV per formula unit.